## Li4Mn3Ni3Sn2O16 (PBE+U)

Data for a relaxed Li4Mn3Ni3Sn2O16 crystal.

a b c (Å): 5.939 5.939 9.676
angles (deg): 88.38 88.38 58.74
Fractional positions:
Li1 0.997 0.997 0.008
Li2 0.007 0.007 0.505
Li3 0.659 0.659 0.104
Li4 0.331 0.331 0.604
O1 0.005 0.005 0.196
O2 0.008 0.008 0.692
O3 0.328 0.850 0.399
O4 0.473 0.025 0.159
O5 0.683 0.168 0.902
O6 0.516 0.516 0.670
O7 0.966 0.502 0.661
O8 0.158 0.158 0.895
O9 0.851 0.851 0.402
O10 0.168 0.683 0.902
O11 0.025 0.473 0.159
O12 0.329 0.329 0.385
O13 0.502 0.966 0.661
O14 0.850 0.328 0.399
O15 0.478 0.478 0.168
O16 0.654 0.654 0.892
Ni1 0.830 0.830 0.786
Ni2 0.663 0.169 0.286
Ni3 0.169 0.663 0.286
Mn1 0.831 0.338 0.785
Mn2 0.338 0.831 0.785
Mn3 0.171 0.171 0.283
Sn1 0.673 0.673 0.507
Sn2 0.333 0.333 0.010

Properties
VASP energy in eV per atom: -5.96
Total magnetic moment in μB per cell: 13.00
DOS(E_F) in states/eV/atom: 0.107